Below is an optimized crystal structure of Mg2SiOs, with properties calculated at the PBE level.

Calculated values
As for the total magnetization: 0.00 Bohr magnetons per cell. The calculation puts the volume at 129 Å³ per cell. Its formation energy without anion corrections is -15 kJ/mol of formula units.

abc: 3.2287 4.5799 8.7520
angles: 90.00 90.00 90.00
Last column: nearest neighbours and their distance in Å.
Space group Imm2 (No. 44)
Symmetry-distinct sites (fractional):
Mg: 0.0000 0.0000 0.0000 x2  4 Os 2.81-3.09, 4 Si 2.82, 4 Mg 2.92-3.00
Mg: 0.0000 0.5000 0.2223 x2  4 Si 2.79-3.11, 4 Os 2.82, 4 Mg 2.92-3.00
Si: 0.0000 0.0000 0.4622 x2  2 Os 2.38
Os: 0.0000 0.5000 0.7631 x2  2 Si 2.38

***

Below is an optimized crystal structure of MgSiOs3, with properties calculated at the PBE level.

Calculated values
As for the total magnetization: 1.34 Bohr magnetons per cell. The calculation puts the volume at 86 Å³ per cell. Its formation energy without anion corrections is 430 kJ/mol of formula units. The energy relative to the lowest polymorph listed for this composition comes out at 0 meV per atom.

abc: 4.4170 4.4170 4.4170
angles: 90.00 90.00 90.00
Last column: nearest neighbours and their distance in Å.
Space group Pm-3m (No. 221)
Symmetry-distinct sites (fractional):
Mg: 0.0000 0.0000 0.0000 x1  12 Os 3.12
Si: 0.5000 0.5000 0.5000 x1  6 Os 2.21
Os: 0.0000 0.5000 0.5000 x3  2 Si 2.21

***

Below is an optimized crystal structure of MgSi3Os, with properties calculated at the PBE level.

Calculated values
As for the total magnetization: 0.00 Bohr magnetons per cell. The calculation puts the volume at 103 Å³ per cell. Its formation energy without anion corrections is 228 kJ/mol of formula units. The energy relative to the lowest polymorph listed for this composition comes out at 0 meV per atom.

abc: 4.6899 4.6899 4.6899
angles: 90.00 90.00 90.00
Last column: nearest neighbours and their distance in Å.
Space group Pm-3m (No. 221)
Symmetry-distinct sites (fractional):
Mg: 0.0000 0.0000 0.0000 x1  12 Si 3.32
Si: 0.0000 0.5000 0.5000 x3  2 Os 2.34
Os: 0.5000 0.5000 0.5000 x1  6 Si 2.34

***

Below is an optimized crystal structure of Mg2SiOs, with properties calculated at the PBE level.

Calculated values
As for the total magnetization: 0.00 Bohr magnetons per cell. The calculation puts the volume at 137 Å³ per cell. Its formation energy without anion corrections is 67 kJ/mol of formula units.

abc: 3.2195 4.8448 8.8099
angles: 90.00 90.00 90.00
Last column: nearest neighbours and their distance in Å.
Space group Cmm2 (No. 35)
Symmetry-distinct sites (fractional):
Mg: 0.0000 0.0000 0.0000 x2  2 Os 2.72, 4 Mg 2.91
Mg: 0.0000 0.5000 0.2975 x2  2 Si 2.79, 6 Mg 2.91-3.08
Si: 0.0000 0.0000 0.5559 x2  2 Os 2.36
Os: 0.0000 0.5000 0.7512 x2  2 Si 2.36

***

Below is an optimized crystal structure of Mg2SiOs, with properties calculated at the PBE level.

Calculated values
As for the total magnetization: 0.00 Bohr magnetons per cell. The calculation puts the volume at 207 Å³ per cell. Its formation energy without anion corrections is 18 kJ/mol of formula units.

abc: 3.0023 3.0023 26.5654
angles: 90.00 90.00 120.00
Last column: nearest neighbours and their distance in Å.
Space group R3m (No. 160, hexagonal axes)
Symmetry-distinct sites (fractional):
Mg: 0.0000 0.0000 0.0000 x3  3 Os 2.80, 6 Mg 3.00
Mg: 0.0000 0.0000 0.2320 x3  3 Si 2.85, 6 Mg 3.00
Si: 0.0000 0.0000 0.4800 x3  3 Os 2.42
Os: 0.0000 0.0000 0.7496 x3  3 Si 2.42

***

Below is an optimized crystal structure of Mg2SiOs, with properties calculated at the PBE level.

Calculated values
As for the total magnetization: 0.00 Bohr magnetons per cell. The calculation puts the volume at 63 Å³ per cell. Its formation energy without anion corrections is 63 kJ/mol of formula units.

abc: 2.8400 4.0925 5.4272
angles: 90.00 90.00 90.00
Last column: nearest neighbours and their distance in Å.
Space group Pmmm (No. 47)
Symmetry-distinct sites (fractional):
Mg: 0.0000 0.0000 0.2424 x2  4 Mg 2.63-2.84, 4 Os 2.82, 4 Si 2.86
Si: 0.5000 0.5000 0.5000 x1  2 Os 2.71, 2 Si 2.84, 8 Mg 2.86
Os: 0.5000 0.5000 0.0000 x1  2 Si 2.71, 8 Mg 2.82, 2 Os 2.84

***

Below is an optimized crystal structure of Mg2SiOs, with properties calculated at the PBE level.

Calculated values
As for the total magnetization: 0.00 Bohr magnetons per cell. The calculation puts the volume at 62 Å³ per cell. Its formation energy without anion corrections is 44 kJ/mol of formula units.

abc: 3.8885 3.8885 4.0819
angles: 90.00 90.00 90.00
Last column: nearest neighbours and their distance in Å.
Space group P4/mmm (No. 123)
Symmetry-distinct sites (fractional):
Mg: 0.0000 0.5000 0.0000 x2  4 Mg 2.75, 4 Os 2.82, 4 Si 2.82
Si: 0.0000 0.0000 0.5000 x1  4 Os 2.75, 8 Mg 2.82
Os: 0.5000 0.5000 0.5000 x1  4 Si 2.75, 8 Mg 2.82

***

Below is an optimized crystal structure of Mg2SiOs, with properties calculated at the PBE level.

Calculated values
As for the total magnetization: 0.00 Bohr magnetons per cell. The calculation puts the volume at 197 Å³ per cell. Its formation energy without anion corrections is 93 kJ/mol of formula units.

abc: 2.8690 2.8690 27.5809
angles: 90.00 90.00 120.00
Last column: nearest neighbours and their distance in Å.
Space group R-3m (No. 166, hexagonal axes)
Symmetry-distinct sites (fractional):
Mg: 0.0000 0.0000 0.2456 x6  3 Os 2.74, 6 Mg 2.87, 3 Si 2.93
Si: 0.0000 0.0000 0.0000 x3  6 Si 2.87, 6 Mg 2.93
Os: 0.0000 0.0000 0.5000 x3  6 Mg 2.74, 6 Os 2.87

***

Below is an optimized crystal structure of MgSi2Os2, with properties calculated at the PBE level.

Calculated values
As for the total magnetization: 0.00 Bohr magnetons per cell. The calculation puts the volume at 143 Å³ per cell. Its formation energy without anion corrections is -131 kJ/mol of formula units.

abc: 7.0860 7.0860 2.8493
angles: 90.00 90.00 90.00
Last column: nearest neighbours and their distance in Å.
Space group P4/mbm (No. 127)
Symmetry-distinct sites (fractional):
Mg: 0.0000 0.0000 0.0000 x2  4 Si 2.74, 2 Mg 2.85, 8 Os 3.04
Si: 0.1399 0.3601 0.0000 x4  6 Os 2.51-2.52, 2 Mg 2.74, 1 Si 2.80
Os: 0.1536 0.6536 0.5000 x4  6 Si 2.51-2.52

***

Below is an optimized crystal structure of Mg2SiOs, with properties calculated at the PBE level.

Calculated values
As for the total magnetization: 0.00 Bohr magnetons per cell. The calculation puts the volume at 126 Å³ per cell. Its formation energy without anion corrections is 59 kJ/mol of formula units.

abc: 5.4660 8.3494 2.7596
angles: 90.00 90.00 90.00
Last column: nearest neighbours and their distance in Å.
Space group Cmmm (No. 65)
Symmetry-distinct sites (fractional):
Mg: 0.2500 0.2500 0.0000 x4  4 Mg 2.73-2.76, 4 Si 2.85, 4 Os 2.85
Si: 0.0000 0.0000 0.5000 x2  2 Os 2.73, 2 Si 2.76, 8 Mg 2.85
Os: 0.0000 0.5000 0.5000 x2  2 Si 2.73, 2 Os 2.76, 8 Mg 2.85

***

Below is an optimized crystal structure of Mg2SiOs, with properties calculated at the PBE level.

Calculated values
As for the total magnetization: 0.00 Bohr magnetons per cell. The calculation puts the volume at 130 Å³ per cell. Its formation energy without anion corrections is 105 kJ/mol of formula units.

abc: 3.0801 4.7555 8.8638
angles: 90.00 90.00 90.00
Last column: nearest neighbours and their distance in Å.
Space group Cmmm (No. 65)
Symmetry-distinct sites (fractional):
Mg: 0.0000 0.0000 0.2443 x4  2 Os 2.66, 2 Si 2.74, 4 Mg 2.83
Si: 0.0000 0.5000 0.5000 x2  4 Mg 2.74, 4 Si 2.83
Os: 0.0000 0.5000 0.0000 x2  4 Mg 2.66, 4 Os 2.83

***

Below is an optimized crystal structure of Mg2Si4Os3, with properties calculated at the PBE level.

Calculated values
As for the total magnetization: 0.83 Bohr magnetons per cell. The calculation puts the volume at 594 Å³ per cell. Its formation energy without anion corrections is 9 kJ/mol of formula units.

abc: 5.6361 9.0149 11.6831
angles: 90.00 90.00 90.00
Last column: nearest neighbours and their distance in Å.
Space group Fmmm (No. 69)
Symmetry-distinct sites (fractional):
Mg: 0.0000 0.0000 0.1213 x8  1 Mg 2.83, 4 Si 2.94-2.99, 6 Os 3.01-3.15
Si: 0.0000 0.1788 0.3373 x16  1 Si 2.41, 3 Os 2.45-2.49
Os: 0.0000 0.0000 0.5000 x4  4 Si 2.49, 4 Os 2.66
Os: 0.2500 0.2500 0.0000 x8  4 Si 2.45, 2 Os 2.66

***

Copy entry 9 word for word.
Below is an optimized crystal structure of MgSi2Os2, with properties calculated at the PBE level.

Calculated values
As for the total magnetization: 0.00 Bohr magnetons per cell. The calculation puts the volume at 143 Å³ per cell. Its formation energy without anion corrections is -131 kJ/mol of formula units.

abc: 7.0860 7.0860 2.8493
angles: 90.00 90.00 90.00
Last column: nearest neighbours and their distance in Å.
Space group P4/mbm (No. 127)
Symmetry-distinct sites (fractional):
Mg: 0.0000 0.0000 0.0000 x2  4 Si 2.74, 2 Mg 2.85, 8 Os 3.04
Si: 0.1399 0.3601 0.0000 x4  6 Os 2.51-2.52, 2 Mg 2.74, 1 Si 2.80
Os: 0.1536 0.6536 0.5000 x4  6 Si 2.51-2.52

***

> What is the formation energy without anion corrections in the ninth record?

-131 kJ/mol of formula units

***

> Which formula does entry 5 have?

Mg2SiOs